[1]
# Na2LiCdH

A geometry-optimized Na2LiCdH structure (PBE-GGA, Alexandria via LeMat-Bulk).

## Properties
D(E_F): 1.6 states/eV/cell
total DFT energy (no corrections): -1.712 eV per atom

POSCAR file:
```
Na2LiCdH
1.0
4.523 0.000 0.000
0.000 4.523 0.000
0.000 0.000 5.148
Na Li Cd H
2 1 1 1
direct
0.000 0.500 0.000
0.500 0.000 0.000
0.000 0.000 0.500
0.500 0.500 0.500
0.500 0.500 0.000
```

=====

[2]
# Na2LiCdH4

A geometry-optimized Na2LiCdH4 structure (PBE-GGA, Alexandria via LeMat-Bulk).

## Properties
D(E_F): 1.5 states/eV/cell
total DFT energy (no corrections): -2.361 eV per atom

POSCAR file:
```
Na2LiCdH4
1.0
-2.780 2.780 3.455
2.780 -2.780 3.455
2.780 2.780 -3.455
Na Li Cd H
2 1 1 4
direct
0.000 0.000 0.000
0.750 0.250 0.500
0.500 0.500 0.000
0.250 0.750 0.500
0.230 0.390 0.538
0.308 0.770 0.160
0.610 0.148 0.840
0.852 0.692 0.462
```

=====

[3]
# Na2LiCdH

A geometry-optimized Na2LiCdH structure (PBE-GGA, Alexandria via LeMat-Bulk).

## Properties
D(E_F): 1.9 states/eV/cell
total DFT energy (no corrections): -1.822 eV per atom

POSCAR file:
```
Na2LiCdH
1.0
4.948 0.000 0.000
0.000 4.948 0.000
0.000 0.000 4.100
Na Li Cd H
2 1 1 1
direct
0.000 0.500 0.000
0.500 0.000 0.000
0.000 0.000 0.500
0.500 0.500 0.500
0.000 0.000 0.000
```

=====

[4]
# LiCdNiH6

A geometry-optimized LiCdNiH6 structure (PBE-GGA, Alexandria via LeMat-Bulk).

## Properties
D(E_F): 1.5 states/eV/cell
total DFT energy (no corrections): -3.173 eV per atom

POSCAR file:
```
LiCdNiH6
1.0
4.553 0.000 0.000
-2.276 3.943 0.000
0.000 0.000 4.418
Li Cd Ni H
1 1 1 6
direct
0.000 0.000 0.000
0.667 0.333 0.500
0.333 0.667 0.000
0.053 0.403 0.213
0.053 0.651 0.787
0.349 0.403 0.787
0.349 0.947 0.213
0.597 0.651 0.213
0.597 0.947 0.787
```

=====

[5]
# LiCdNi2H

A geometry-optimized LiCdNi2H structure (PBE-GGA, Alexandria via LeMat-Bulk).

## Properties
D(E_F): 2.0 states/eV/cell
total DFT energy (no corrections): -3.684 eV per atom

POSCAR file:
```
LiCdNi2H
1.0
3.700 0.000 0.000
0.000 3.700 0.000
0.000 0.000 4.000
Li Cd Ni H
1 1 2 1
direct
0.000 0.000 0.000
0.500 0.500 0.000
0.000 0.500 0.500
0.500 0.000 0.500
0.000 0.000 0.500
```

=====

[6]
# LiCd2HSe2O7

A geometry-optimized LiCd2HSe2O7 structure (PBE-GGA, Alexandria via LeMat-Bulk).

## Properties
D(E_F): 0.0 states/eV/cell
total DFT energy (no corrections): -4.912 eV per atom

POSCAR file:
```
LiCd2HSe2O7
1.0
5.866 0.000 0.000
0.000 10.451 0.000
-0.066 0.000 11.950
Li Cd H Se O
4 8 4 8 28
direct
0.132 0.184 0.139
0.132 0.316 0.639
0.868 0.684 0.361
0.868 0.816 0.861
0.125 0.599 0.102
0.125 0.901 0.602
0.353 0.622 0.793
0.353 0.878 0.293
0.647 0.122 0.707
0.647 0.378 0.207
0.875 0.099 0.398
0.875 0.401 0.898
0.328 0.084 0.443
0.328 0.416 0.943
0.672 0.584 0.057
0.672 0.916 0.557
0.119 0.095 0.839
0.119 0.405 0.339
0.388 0.664 0.499
0.388 0.836 0.999
0.612 0.164 0.001
0.612 0.336 0.501
0.881 0.595 0.661
0.881 0.905 0.161
0.010 0.229 0.771
0.010 0.271 0.271
0.122 0.727 0.469
0.122 0.773 0.969
0.123 0.502 0.670
0.123 0.998 0.170
0.224 0.011 0.435
0.224 0.489 0.935
0.291 0.024 0.737
0.291 0.476 0.237
0.444 0.240 0.099
0.444 0.260 0.599
0.447 0.748 0.119
0.447 0.752 0.619
0.553 0.248 0.381
0.553 0.252 0.881
0.556 0.740 0.401
0.556 0.760 0.901
0.709 0.524 0.763
0.709 0.976 0.263
0.776 0.511 0.065
0.776 0.989 0.565
0.877 0.002 0.830
0.877 0.498 0.330
0.878 0.227 0.031
0.878 0.273 0.531
0.990 0.729 0.729
0.990 0.771 0.229
```

=====

[7]
# Li2CdPH

A geometry-optimized Li2CdPH structure (PBE-GGA, Alexandria via LeMat-Bulk).

## Properties
D(E_F): 0.4 states/eV/cell
total DFT energy (no corrections): -2.995 eV per atom

POSCAR file:
```
Li2CdPH
1.0
3.959 0.000 0.000
0.000 3.959 0.000
0.000 0.000 4.282
Li Cd P H
2 1 1 1
direct
0.000 0.500 0.000
0.500 0.000 0.000
0.000 0.000 0.500
0.500 0.500 0.500
0.000 0.000 0.000
```

=====

[8]
# LiCd2HPb

A geometry-optimized LiCd2HPb structure (PBE-GGA, Alexandria via LeMat-Bulk).

## Properties
D(E_F): 1.0 states/eV/cell
total DFT energy (no corrections): -2.123 eV per atom

POSCAR file:
```
LiCd2HPb
1.0
4.937 0.000 0.000
0.000 4.937 0.000
0.000 0.000 4.011
Li Cd H Pb
1 2 1 1
direct
0.000 0.000 0.000
0.000 0.500 0.500
0.500 0.000 0.500
0.000 0.000 0.500
0.500 0.500 0.000
```

=====

[9]
# LiCdHPb2

A geometry-optimized LiCdHPb2 structure (PBE-GGA, Alexandria via LeMat-Bulk).

## Properties
D(E_F): 1.4 states/eV/cell
total DFT energy (no corrections): -2.697 eV per atom

POSCAR file:
```
LiCdHPb2
1.0
5.313 0.000 0.000
0.000 5.313 0.000
0.000 0.000 3.778
Li Cd H Pb
1 1 1 2
direct
0.000 0.000 0.000
0.500 0.500 0.000
0.000 0.000 0.500
0.000 0.500 0.500
0.500 0.000 0.500
```

=====

[10]
# LiCdHPd2

A geometry-optimized LiCdHPd2 structure (PBE-GGA, Alexandria via LeMat-Bulk).

## Properties
D(E_F): 0.8 states/eV/cell
total DFT energy (no corrections): -3.747 eV per atom

POSCAR file:
```
LiCdHPd2
1.0
4.037 0.000 0.000
0.000 4.037 0.000
0.000 0.000 4.008
Li Cd H Pd
1 1 1 2
direct
0.000 0.000 0.000
0.500 0.500 0.000
0.000 0.000 0.500
0.000 0.500 0.500
0.500 0.000 0.500
```

=====

[11]
# Li2CdHPd

A geometry-optimized Li2CdHPd structure (PBE-GGA, Alexandria via LeMat-Bulk).

## Properties
D(E_F): 1.4 states/eV/cell
total DFT energy (no corrections): -2.918 eV per atom

POSCAR file:
```
Li2CdHPd
1.0
3.948 0.000 0.000
0.000 3.948 0.000
0.000 0.000 4.312
Li Cd H Pd
2 1 1 1
direct
0.000 0.500 0.000
0.500 0.000 0.000
0.000 0.000 0.500
0.000 0.000 0.000
0.500 0.500 0.500
```

=====

[12]
# LiCdHPd2

A geometry-optimized LiCdHPd2 structure (PBE-GGA, Alexandria via LeMat-Bulk).

## Properties
D(E_F): 0.9 states/eV/cell
total DFT energy (no corrections): -3.577 eV per atom

POSCAR file:
```
LiCdHPd2
1.0
4.006 0.000 0.000
0.000 4.006 0.000
0.000 0.000 4.193
Li Cd H Pd
1 1 1 2
direct
0.000 0.000 0.000
0.500 0.500 0.000
0.500 0.500 0.500
0.000 0.500 0.500
0.500 0.000 0.500
```

=====

[13]
# LiCd2HPd

A geometry-optimized LiCd2HPd structure (PBE-GGA, Alexandria via LeMat-Bulk).

## Properties
D(E_F): 1.4 states/eV/cell
total DFT energy (no corrections): -2.615 eV per atom

POSCAR file:
```
LiCd2HPd
1.0
4.753 0.000 0.000
0.000 4.753 0.000
0.000 0.000 3.428
Li Cd H Pd
1 2 1 1
direct
0.000 0.000 0.000
0.000 0.500 0.500
0.500 0.000 0.500
0.500 0.500 0.500
0.500 0.500 0.000
```

=====

[14]
# LiCd2HPd2

A geometry-optimized LiCd2HPd2 structure (PBE-GGA, Alexandria via LeMat-Bulk).

## Properties
D(E_F): 2.9 states/eV/cell
total DFT energy (no corrections): -3.175 eV per atom

POSCAR file:
```
LiCd2HPd2
1.0
-2.686 6.578 2.465
2.686 -6.578 2.465
2.686 6.578 -2.465
Li Cd H Pd
2 4 2 4
direct
0.250 0.250 0.000
0.750 0.750 0.000
0.187 0.155 0.342
0.313 0.655 0.969
0.687 0.345 0.031
0.813 0.845 0.658
0.250 0.750 0.500
0.750 0.250 0.500
0.094 0.645 0.739
0.406 0.145 0.550
0.594 0.855 0.450
0.906 0.355 0.261
```

=====

[15]
# Li2CdHPd

A geometry-optimized Li2CdHPd structure (PBE-GGA, Alexandria via LeMat-Bulk).

## Properties
D(E_F): 1.5 states/eV/cell
total DFT energy (no corrections): -3.033 eV per atom

POSCAR file:
```
Li2CdHPd
1.0
4.136 0.000 0.000
0.000 4.136 0.000
0.000 0.000 3.796
Li Cd H Pd
2 1 1 1
direct
0.000 0.500 0.000
0.500 0.000 0.000
0.000 0.000 0.500
0.500 0.500 0.000
0.500 0.500 0.500
```

=====

[16]
# LiCd2HPd

A geometry-optimized LiCd2HPd structure (PBE-GGA, Alexandria via LeMat-Bulk).

## Properties
D(E_F): 1.2 states/eV/cell
total DFT energy (no corrections): -2.641 eV per atom

POSCAR file:
```
LiCd2HPd
1.0
4.538 0.000 0.000
0.000 4.538 0.000
0.000 0.000 3.526
Li Cd H Pd
1 2 1 1
direct
0.000 0.000 0.000
0.000 0.500 0.500
0.500 0.000 0.500
0.000 0.000 0.500
0.500 0.500 0.000
```

=====

[17]
# LiCdHPt2

A geometry-optimized LiCdHPt2 structure (PBE-GGA, Alexandria via LeMat-Bulk).

## Properties
D(E_F): 1.5 states/eV/cell
total DFT energy (no corrections): -3.913 eV per atom

POSCAR file:
```
LiCdHPt2
1.0
3.988 0.000 0.000
0.000 3.988 0.000
0.000 0.000 4.256
Li Cd H Pt
1 1 1 2
direct
0.000 0.000 0.000
0.500 0.500 0.000
0.500 0.500 0.500
0.000 0.500 0.500
0.500 0.000 0.500
```

=====

[18]
# LiCd2HPt

A geometry-optimized LiCd2HPt structure (PBE-GGA, Alexandria via LeMat-Bulk).

## Properties
D(E_F): 1.2 states/eV/cell
total DFT energy (no corrections): -2.804 eV per atom

POSCAR file:
```
LiCd2HPt
1.0
4.552 0.000 0.000
0.000 4.552 0.000
0.000 0.000 3.489
Li Cd H Pt
1 2 1 1
direct
0.000 0.000 0.000
0.000 0.500 0.500
0.500 0.000 0.500
0.000 0.000 0.500
0.500 0.500 0.000
```

=====

[19]
# LiCd2HPt

A geometry-optimized LiCd2HPt structure (PBE-GGA, Alexandria via LeMat-Bulk).

## Properties
D(E_F): 1.6 states/eV/cell
total DFT energy (no corrections): -2.773 eV per atom

POSCAR file:
```
LiCd2HPt
1.0
4.690 0.000 0.000
0.000 4.690 0.000
0.000 0.000 3.522
Li Cd H Pt
1 2 1 1
direct
0.000 0.000 0.000
0.000 0.500 0.500
0.500 0.000 0.500
0.500 0.500 0.500
0.500 0.500 0.000
```

=====

[20]
# LiCdHPt2

A geometry-optimized LiCdHPt2 structure (PBE-GGA, Alexandria via LeMat-Bulk).

## Properties
D(E_F): 0.8 states/eV/cell
total DFT energy (no corrections): -4.083 eV per atom

POSCAR file:
```
LiCdHPt2
1.0
4.019 0.000 0.000
0.000 4.019 0.000
0.000 0.000 4.062
Li Cd H Pt
1 1 1 2
direct
0.000 0.000 0.000
0.500 0.500 0.000
0.000 0.000 0.500
0.000 0.500 0.500
0.500 0.000 0.500
```

=====

[21]
# Rb2LiCdH

A geometry-optimized Rb2LiCdH structure (PBE-GGA, Alexandria via LeMat-Bulk).

## Properties
D(E_F): 2.9 states/eV/cell
total DFT energy (no corrections): -1.578 eV per atom

POSCAR file:
```
Rb2LiCdH
1.0
6.664 0.000 0.000
0.000 6.664 0.000
0.000 0.000 3.919
Rb Li Cd H
2 1 1 1
direct
0.000 0.500 0.000
0.500 0.000 0.000
0.000 0.000 0.500
0.500 0.500 0.500
0.000 0.000 0.000
```

=====

[22]
# LiCdHRh

A geometry-optimized LiCdHRh structure (PBE-GGA, Alexandria via LeMat-Bulk).

## Properties
D(E_F): 2.0 states/eV/cell
total DFT energy (no corrections): -3.605 eV per atom

POSCAR file:
```
LiCdHRh
1.0
1.468 0.848 6.886
-1.468 0.848 6.886
0.000 -1.695 6.886
Li Cd H Rh
1 1 1 1
direct
0.000 0.000 0.000
0.215 0.215 0.215
0.397 0.397 0.397
0.766 0.766 0.766
```

=====

[23]
# Li2CdHRh

A geometry-optimized Li2CdHRh structure (PBE-GGA, Alexandria via LeMat-Bulk).

## Properties
D(E_F): 0.7 states/eV/cell
total DFT energy (no corrections): -3.411 eV per atom

POSCAR file:
```
Li2CdHRh
1.0
4.074 0.000 0.000
0.000 4.074 0.000
0.000 0.000 3.713
Li Cd H Rh
2 1 1 1
direct
0.000 0.500 0.000
0.500 0.000 0.000
0.000 0.000 0.500
0.500 0.500 0.000
0.500 0.500 0.500
```

=====

[24]
# Li2CdH4Rh

A geometry-optimized Li2CdH4Rh structure (PBE-GGA, Alexandria via LeMat-Bulk).

## Properties
D(E_F): 2.5 states/eV/cell
total DFT energy (no corrections): -3.370 eV per atom

POSCAR file:
```
Li2CdH4Rh
1.0
-2.111 2.111 4.426
2.111 -2.111 4.426
2.111 2.111 -4.426
Li Cd H Rh
2 1 4 1
direct
0.250 0.750 0.500
0.750 0.250 0.500
0.000 0.000 0.000
0.167 0.561 0.000
0.439 0.439 0.606
0.561 0.167 0.000
0.833 0.833 0.394
0.500 0.500 0.000
```

=====

[25]
# Li2CdH6Rh

A geometry-optimized Li2CdH6Rh structure (PBE-GGA, Alexandria via LeMat-Bulk).

## Properties
D(E_F): 1.0 states/eV/cell
total DFT energy (no corrections): -3.403 eV per atom

POSCAR file:
```
Li2CdH6Rh
1.0
4.718 0.000 0.000
-2.359 4.086 0.000
0.000 0.000 5.315
Li Cd H Rh
2 1 6 1
direct
0.333 0.667 0.115
0.667 0.333 0.885
0.000 0.000 0.500
0.171 0.343 0.820
0.171 0.829 0.820
0.343 0.171 0.180
0.657 0.829 0.820
0.829 0.171 0.180
0.829 0.657 0.180
0.000 0.000 0.000
```